Entry 1:
ZrFe2Re: optimized geometry, PBE.

a = 3.813 Å, b = 3.813 Å, c = 8.174 Å
α = 90.00°, β = 90.00°, γ = 90.00°
Space group I-4m2 (No. 119)
One atom of each set of equivalent atoms:
1 Zr 0.000 0.000 0.000 [2 per cell]
2 Fe 0.000 0.000 0.500 [2 per cell]
3 Fe 0.000 0.500 0.750 [2 per cell]
4 Re 0.000 0.500 0.250 [2 per cell]

Calculated values
energy of formation	0.214	eV per atom
electronic total energy	-74.13	eV/cell


Entry 2:
Rb9Co2S7: optimized geometry, PBE.

a = 13.213 Å, b = 13.213 Å, c = 13.213 Å
α = 90.00°, β = 90.00°, γ = 90.00°
Space group P2_13 (No. 198)
One atom of each set of equivalent atoms:
1 Rb 0.013 0.487 0.513 [4 per cell]
2 Rb 0.041 0.705 0.077 [12 per cell]
3 Rb 0.048 0.751 0.581 [12 per cell]
4 Rb 0.165 0.165 0.165 [4 per cell]
5 Rb 0.194 0.306 0.694 [4 per cell]
6 Co 0.150 0.850 0.350 [4 per cell]
7 Co 0.177 0.677 0.823 [4 per cell]
8 S 0.047 0.953 0.453 [4 per cell]
9 S 0.064 0.798 0.829 [12 per cell]
10 S 0.087 0.687 0.339 [12 per cell]

Calculated values
formation energy (no corrections)	-859	meV per atom
electronic total energy	-269.13	eV/cell


Entry 3:
ScVOs2: optimized geometry, PBE.

a = 4.407 Å, b = 4.407 Å, c = 3.101 Å
α = 90.00°, β = 90.00°, γ = 90.00°
Space group P4/mmm (No. 123)
One atom of each set of equivalent atoms:
1 Sc 0.000 0.000 0.000 [1 per cell]
2 V 0.500 0.500 0.000 [1 per cell]
3 Os 0.000 0.500 0.500 [2 per cell]

Calculated values
energy of formation	-0.331	eV per atom
electronic total energy	-39.23	eV/cell


Entry 4:
La2Nd3ThS6: optimized geometry, PBE.

a = 17.830 Å, b = 4.092 Å, c = 8.189 Å
α = 90.00°, β = 103.38°, γ = 90.00°
Space group C2/m (No. 12)
One atom of each set of equivalent atoms:
1 La 0.165 0.000 0.331 [4 per cell]
2 Nd 0.000 0.500 0.500 [2 per cell]
3 Nd 0.167 0.000 0.835 [4 per cell]
4 Th 0.000 0.500 0.000 [2 per cell]
5 S 0.002 0.000 0.752 [4 per cell]
6 S 0.166 0.500 0.080 [4 per cell]
7 S 0.167 0.500 0.586 [4 per cell]

Calculated values
formation energy (no corrections)	-2036	meV per atom
electronic total energy	-161.55	eV/cell


Entry 5:
Mg3AsN: optimized geometry, PBE.

a = 11.189 Å, b = 11.189 Å, c = 11.189 Å
α = 90.00°, β = 90.00°, γ = 90.00°
Space group Fd-3m (No. 227, origin choice 2)
One atom of each set of equivalent atoms:
1 Mg 0.084 0.375 0.375 [48 per cell]
2 As 0.000 0.000 0.500 [16 per cell]
3 N 0.000 0.000 0.000 [16 per cell]

Calculated values
formation energy (no corrections)	-427	meV per atom
electronic total energy	-318.31	eV/cell


Entry 6:
Y8Ge3SeS4: optimized geometry, PBE.

a = 8.1074 Å, b = 8.1074 Å, c = 19.7495 Å
α = 90.00°, β = 90.00°, γ = 120.00°
Space group R-3m (No. 166, hexagonal axes)
One atom of each set of equivalent atoms:
1 Y 0.0000 0.0000 0.2502 [6 per cell]
2 Y 0.0068 0.5034 0.2499 [18 per cell]
3 Ge 0.0000 0.5000 0.0000 [9 per cell]
4 Se 0.0000 0.0000 0.0000 [3 per cell]
5 S 0.0000 0.0000 0.5000 [3 per cell]
6 S 0.0000 0.5000 0.5000 [9 per cell]

Calculated values
formation energy (no corrections)	-1616	meV per atom
electronic total energy	-334.25	eV/cell